1.
Compound: Pm3Si2Ag
Source: the Alexandria database
Functional: GGA-PBE
Structure: relaxed

Lattice parameters (Å, degrees): 7.521 7.521 7.521 64.29 64.29 64.29
Fractional coordinates of all 12 atoms:
Pm: 0.461 0.039 0.750
Pm: 0.039 0.750 0.461
Pm: 0.750 0.461 0.039
Pm: 0.539 0.961 0.250
Pm: 0.961 0.250 0.539
Pm: 0.250 0.539 0.961
Si: 0.358 0.358 0.358
Si: 0.142 0.142 0.142
Si: 0.858 0.858 0.858
Si: 0.642 0.642 0.642
Ag: 0.500 0.500 0.500
Ag: 0.000 0.000 0.000

**Magnetic moment**: 0.00 μB per formula unit
**Formation energy without anion corrections**: -41.8 kJ/mol of atoms
**Symmetry**: R-3c (167)
**DOS(E_F)**: 1.105 states/eV per atom
**Raw total energy**: -5.092 eV per atom

2.
Compound: Pm4Si2Ag5
Source: the Alexandria database
Functional: GGA-PBE
Structure: relaxed

Lattice parameters (Å, degrees): 4.235 7.151 8.614 94.91 90.00 90.00
Fractional coordinates of all 11 atoms:
Pm: 0.500 0.762 0.581
Pm: 0.500 0.206 0.861
Pm: 0.500 0.238 0.419
Pm: 0.500 0.794 0.139
Si: 0.000 0.072 0.630
Si: 0.000 0.928 0.370
Ag: 0.000 0.552 0.336
Ag: 0.000 0.149 0.136
Ag: 0.000 0.500 0.000
Ag: 0.000 0.851 0.864
Ag: 0.000 0.448 0.664

**Magnetic moment**: 0.00 μB per formula unit
**Formation energy without anion corrections**: -36.1 kJ/mol of atoms
**Symmetry**: P2/m (10)
**DOS(E_F)**: 0.780 states/eV per atom
**Raw total energy**: -4.384 eV per atom

3.
Compound: Pm2Si3Ag
Source: the Alexandria database
Functional: GGA-PBE
Structure: relaxed

Lattice parameters (Å, degrees): 5.935 5.935 8.341 111.05 111.05 89.45
Fractional coordinates of all 12 atoms:
Pm: 0.250 0.750 0.500
Pm: 0.758 0.758 0.000
Pm: 0.750 0.250 0.500
Pm: 0.242 0.242 0.000
Si: 0.328 0.836 0.164
Si: 0.164 0.672 0.836
Si: 0.672 0.164 0.836
Si: 0.836 0.328 0.164
Si: 0.163 0.163 0.327
Si: 0.837 0.837 0.673
Ag: 0.666 0.666 0.331
Ag: 0.334 0.334 0.669

**Magnetic moment**: 0.00 μB per formula unit
**Formation energy without anion corrections**: -63.4 kJ/mol of atoms
**Symmetry**: Fmmm (69)
**DOS(E_F)**: 0.301 states/eV per atom
**Raw total energy**: -5.427 eV per atom

4.
Compound: Pm3SiAg
Source: the Alexandria database
Functional: GGA-PBE
Structure: relaxed

Lattice parameters (Å, degrees): 7.374 7.374 7.374 90.00 90.00 90.00
Each line ends with the local moment (μB).
Fractional coordinates of all 15 atoms:
Pm: 0.500 0.500 0.500  0.73
Pm: 0.238 0.238 0.238  0.15
Pm: 0.762 0.762 0.238  0.15
Pm: 0.762 0.238 0.762  0.15
Pm: 0.238 0.762 0.762  0.15
Pm: 0.238 0.238 0.762  0.15
Pm: 0.762 0.762 0.762  0.15
Pm: 0.238 0.762 0.238  0.15
Pm: 0.762 0.238 0.238  0.15
Si: 0.500 0.000 0.000  0.01
Si: 0.000 0.500 0.000  0.01
Si: 0.000 0.000 0.500  0.01
Ag: 0.000 0.500 0.500  0.01
Ag: 0.500 0.000 0.500  0.01
Ag: 0.500 0.500 0.000  0.01

**Magnetic moment**: 1.16 μB per formula unit
**Formation energy without anion corrections**: -25.4 kJ/mol of atoms
**Symmetry**: Pm-3m (221)
**DOS(E_F)**: 0.930 states/eV per atom
**Raw total energy**: -4.768 eV per atom

5.
Compound: Pm3Si4Ag4
Source: the Alexandria database
Functional: GGA-PBE
Structure: relaxed

Lattice parameters (Å, degrees): 4.376 7.063 8.363 114.98 105.17 90.00
Fractional coordinates of all 11 atoms:
Pm: 0.127 0.127 0.254
Pm: 0.873 0.873 0.746
Pm: 0.000 0.500 0.000
Si: 0.216 0.716 0.432
Si: 0.784 0.284 0.568
Si: 0.500 0.826 0.000
Si: 0.500 0.174 0.000
Ag: 0.332 0.136 0.664
Ag: 0.668 0.472 0.336
Ag: 0.668 0.864 0.336
Ag: 0.332 0.528 0.664

**Magnetic moment**: 0.00 μB per formula unit
**Formation energy without anion corrections**: -48.1 kJ/mol of atoms
**Symmetry**: Immm (71)
**DOS(E_F)**: 0.258 states/eV per atom
**Raw total energy**: -4.803 eV per atom

6.
Compound: Pm5Si2Ag2
Source: the Alexandria database
Functional: GGA-PBE
Structure: relaxed

Lattice parameters (Å, degrees): 7.722 7.694 8.926 90.00 64.37 90.00
Fractional coordinates of all 18 atoms:
Pm: 0.000 0.000 0.000
Pm: 0.500 0.500 0.000
Pm: 0.448 0.178 0.740
Pm: 0.812 0.822 0.740
Pm: 0.312 0.678 0.740
Pm: 0.948 0.322 0.740
Pm: 0.552 0.822 0.260
Pm: 0.188 0.178 0.260
Pm: 0.688 0.322 0.260
Pm: 0.052 0.678 0.260
Si: 0.115 0.384 0.000
Si: 0.885 0.616 0.000
Si: 0.385 0.884 0.000
Si: 0.615 0.116 0.000
Ag: 0.215 0.000 0.570
Ag: 0.715 0.500 0.570
Ag: 0.785 0.000 0.430
Ag: 0.285 0.500 0.430

**Magnetic moment**: 0.00 μB per formula unit
**Formation energy without anion corrections**: -43.2 kJ/mol of atoms
**Symmetry**: Cmce (64)
**DOS(E_F)**: 1.090 states/eV per atom
**Raw total energy**: -4.926 eV per atom

7.
Compound: Pm8Si2Ag
Source: the Alexandria database
Functional: GGA-PBE
Structure: relaxed

Lattice parameters (Å, degrees): 5.768 8.101 8.101 114.94 100.47 100.47
Fractional coordinates of all 11 atoms:
Pm: 0.927 0.923 0.680
Pm: 0.927 0.680 0.923
Pm: 0.306 0.606 0.606
Pm: 0.500 0.761 0.239
Pm: 0.500 0.239 0.761
Pm: 0.694 0.394 0.394
Pm: 0.073 0.320 0.077
Pm: 0.073 0.077 0.320
Si: 0.000 0.307 0.693
Si: 0.000 0.693 0.307
Ag: 0.500 0.000 0.000

**Magnetic moment**: 0.00 μB per formula unit
**Formation energy without anion corrections**: -20.0 kJ/mol of atoms
**Symmetry**: C2/m (12)
**DOS(E_F)**: 1.061 states/eV per atom
**Raw total energy**: -4.907 eV per atom

8.
Compound: PmSiAg
Source: the Alexandria database
Functional: GGA-PBE
Structure: relaxed

Lattice parameters (Å, degrees): 4.325 7.230 12.306 89.47 90.00 90.00
Fractional coordinates of all 18 atoms:
Pm: 0.750 0.519 0.376
Pm: 0.250 0.981 0.705
Pm: 0.750 0.019 0.295
Pm: 0.750 0.660 0.080
Pm: 0.250 0.481 0.624
Pm: 0.250 0.340 0.920
Si: 0.250 0.756 0.911
Si: 0.750 0.270 0.750
Si: 0.750 0.766 0.578
Si: 0.750 0.244 0.089
Si: 0.250 0.234 0.422
Si: 0.250 0.730 0.250
Ag: 0.250 0.994 0.089
Ag: 0.250 0.848 0.459
Ag: 0.750 0.646 0.796
Ag: 0.750 0.152 0.541
Ag: 0.250 0.354 0.204
Ag: 0.750 0.006 0.911

**Magnetic moment**: 0.00 μB per formula unit
**Formation energy without anion corrections**: -53.8 kJ/mol of atoms
**Symmetry**: P2_1/m (11)
**DOS(E_F)**: 0.203 states/eV per atom
**Raw total energy**: -4.899 eV per atom

9.
Compound: PmSiAg
Source: the Alexandria database
Functional: GGA-PBE
Structure: relaxed

Lattice parameters (Å, degrees): 3.856 4.442 4.442 120.00 90.00 90.00
Fractional coordinates of all 3 atoms:
Si: 0.167 0.667 0.333
Ag: 0.167 0.000 0.000
Pm: 0.667 0.333 0.667

**Magnetic moment**: 0.00 μB per formula unit
**Formation energy without anion corrections**: -47.8 kJ/mol of atoms
**Symmetry**: P-6m2 (187)
**DOS(E_F)**: 0.657 states/eV per atom
**Raw total energy**: -4.837 eV per atom

10.
Compound: Pm3Si2Ag4
Source: the Alexandria database
Functional: GGA-PBE
Structure: relaxed

Lattice parameters (Å, degrees): 4.506 5.960 8.827 70.46 75.21 67.79
Fractional coordinates of all 9 atoms:
Pm: 0.329 0.687 0.656
Pm: 0.000 0.000 0.000
Pm: 0.671 0.313 0.344
Si: 0.394 0.934 0.277
Si: 0.606 0.066 0.723
Ag: 0.287 0.365 0.061
Ag: 0.713 0.635 0.939
Ag: 0.050 0.277 0.623
Ag: 0.950 0.723 0.377

**Magnetic moment**: 0.00 μB per formula unit
**Formation energy without anion corrections**: -40.1 kJ/mol of atoms
**Symmetry**: C2/m (12)
**DOS(E_F)**: 0.353 states/eV per atom
**Raw total energy**: -4.471 eV per atom

11.
Compound: PmSi2Ag
Source: the Alexandria database
Functional: GGA-PBE
Structure: relaxed

Lattice parameters (Å, degrees): 3.827 4.870 4.870 103.34 90.00 90.00
Fractional coordinates of all 4 atoms:
Pm: 0.000 0.990 0.010
Si: 0.500 0.884 0.492
Si: 0.500 0.508 0.116
Ag: 0.500 0.399 0.601

**Magnetic moment**: 0.00 μB per formula unit
**Formation energy without anion corrections**: -18.5 kJ/mol of atoms
**Symmetry**: Amm2 (38)
**DOS(E_F)**: 0.258 states/eV per atom
**Raw total energy**: -4.803 eV per atom

12.
Compound: Pm3Si4Ag2
Source: the Alexandria database
Functional: GGA-PBE
Structure: relaxed

Lattice parameters (Å, degrees): 4.283 5.908 8.406 101.88 90.00 111.25
Fractional coordinates of all 9 atoms:
Pm: 0.661 0.321 0.673
Pm: 0.000 0.000 0.000
Pm: 0.339 0.679 0.327
Si: 0.721 0.443 0.049
Si: 0.279 0.557 0.951
Si: 0.943 0.886 0.604
Si: 0.057 0.114 0.396
Ag: 0.617 0.234 0.282
Ag: 0.383 0.766 0.718

**Magnetic moment**: 0.00 μB per formula unit
**Formation energy without anion corrections**: -59.2 kJ/mol of atoms
**Symmetry**: C2/m (12)
**DOS(E_F)**: 0.454 states/eV per atom
**Raw total energy**: -5.241 eV per atom

13.
Compound: PmSiAg4
Source: the Alexandria database
Functional: GGA-PBE
Structure: relaxed

Lattice parameters (Å, degrees): 5.582 5.582 5.582 60.00 60.00 60.00
Fractional coordinates of all 6 atoms:
Si: 0.000 0.000 0.000
Ag: 0.625 0.625 0.124
Ag: 0.625 0.124 0.625
Ag: 0.625 0.625 0.625
Ag: 0.124 0.625 0.625
Pm: 0.250 0.250 0.250

**Magnetic moment**: 0.00 μB per formula unit
**Formation energy without anion corrections**: 0.8 kJ/mol of atoms
**Symmetry**: F-43m (216)
**DOS(E_F)**: 0.867 states/eV per atom
**Raw total energy**: -3.589 eV per atom

14.
Compound: PmSi2Ag4
Source: the Alexandria database
Functional: GGA-PBE
Structure: relaxed

Lattice parameters (Å, degrees): 4.208 4.216 7.732 105.82 90.00 90.00
Fractional coordinates of all 7 atoms:
Pm: 0.000 0.000 0.000
Si: 0.500 0.578 0.156
Si: 0.500 0.422 0.844
Ag: 0.500 0.821 0.643
Ag: 0.000 0.679 0.358
Ag: 0.500 0.179 0.357
Ag: 0.000 0.321 0.642

**Magnetic moment**: 0.00 μB per formula unit
**Formation energy without anion corrections**: -26.2 kJ/mol of atoms
**Symmetry**: Cmmm (65)
**DOS(E_F)**: 0.440 states/eV per atom
**Raw total energy**: -4.129 eV per atom

15.
Compound: PmSiAg
Source: the Alexandria database
Functional: GGA-PBE
Structure: relaxed

Lattice parameters (Å, degrees): 4.686 4.686 4.686 60.00 60.00 60.00
Fractional coordinates of all 3 atoms:
Si: 0.250 0.250 0.250
Ag: 0.500 0.500 0.500
Pm: 0.000 0.000 0.000

**Magnetic moment**: 0.00 μB per formula unit
**Formation energy without anion corrections**: -37.0 kJ/mol of atoms
**Symmetry**: F-43m (216)
**Raw total energy**: -4.725 eV per atom

16.
Compound: Pm5Si2Ag
Source: the Alexandria database
Functional: GGA-PBE
Structure: relaxed

Lattice parameters (Å, degrees): 7.658 7.658 9.213 114.56 114.56 90.00
Fractional coordinates of all 16 atoms:
Pm: 0.534 0.686 0.720
Pm: 0.814 0.966 0.280
Pm: 0.000 0.000 0.000
Pm: 0.500 0.500 0.000
Pm: 0.186 0.034 0.720
Pm: 0.686 0.186 0.720
Pm: 0.034 0.534 0.720
Pm: 0.314 0.814 0.280
Pm: 0.966 0.466 0.280
Pm: 0.466 0.314 0.280
Si: 0.117 0.383 0.000
Si: 0.617 0.117 0.000
Si: 0.383 0.883 0.000
Si: 0.883 0.617 0.000
Ag: 0.750 0.750 0.500
Ag: 0.250 0.250 0.500

**Magnetic moment**: 0.00 μB per formula unit
**Formation energy without anion corrections**: -44.8 kJ/mol of atoms
**Symmetry**: I4/mcm (140)
**DOS(E_F)**: 1.111 states/eV per atom
**Raw total energy**: -5.146 eV per atom

17.
Compound: PmSi2Ag
Source: the Alexandria database
Functional: GGA-PBE
Structure: relaxed

Lattice parameters (Å, degrees): 4.222 10.924 13.710 90.00 90.00 90.00
Fractional coordinates of all 32 atoms:
Pm: 0.750 0.466 0.696
Pm: 0.250 0.966 0.804
Pm: 0.250 0.534 0.304
Pm: 0.750 0.034 0.196
Pm: 0.750 0.242 0.947
Pm: 0.250 0.742 0.553
Pm: 0.250 0.758 0.053
Pm: 0.750 0.258 0.447
Si: 0.750 0.965 0.971
Si: 0.250 0.465 0.529
Si: 0.250 0.035 0.029
Si: 0.750 0.535 0.471
Si: 0.750 0.778 0.890
Si: 0.250 0.278 0.610
Si: 0.250 0.222 0.110
Si: 0.750 0.722 0.390
Si: 0.750 0.763 0.714
Si: 0.250 0.263 0.786
Si: 0.250 0.237 0.286
Si: 0.750 0.737 0.214
Si: 0.750 0.948 0.631
Si: 0.250 0.448 0.869
Si: 0.250 0.052 0.369
Si: 0.750 0.552 0.131
Ag: 0.750 0.553 0.940
Ag: 0.250 0.053 0.560
Ag: 0.250 0.447 0.060
Ag: 0.750 0.947 0.440
Ag: 0.750 0.334 0.204
Ag: 0.250 0.834 0.296
Ag: 0.250 0.666 0.796
Ag: 0.750 0.166 0.704

**Magnetic moment**: 0.00 μB per formula unit
**Formation energy without anion corrections**: -47.0 kJ/mol of atoms
**Symmetry**: Pnma (62)
**DOS(E_F)**: 0.229 states/eV per atom
**Raw total energy**: -5.099 eV per atom

18.
Compound: PmSi2Ag2
Source: the Alexandria database
Functional: GGA-PBE
Structure: relaxed

Lattice parameters (Å, degrees): 4.239 4.239 6.128 110.26 110.26 89.92
Fractional coordinates of all 5 atoms:
Pm: 0.000 0.000 0.000
Si: 0.609 0.609 0.217
Si: 0.391 0.391 0.783
Ag: 0.750 0.250 0.500
Ag: 0.250 0.750 0.500

**Magnetic moment**: 0.00 μB per formula unit
**Formation energy without anion corrections**: -40.9 kJ/mol of atoms
**Symmetry**: Fmmm (69)
**DOS(E_F)**: 0.392 states/eV per atom
**Raw total energy**: -4.684 eV per atom

19.
Compound: PmSi2Ag
Source: the Alexandria database
Functional: GGA-PBE
Structure: relaxed

Lattice parameters (Å, degrees): 5.066 5.066 4.707 57.44 57.44 60.00
Fractional coordinates of all 4 atoms:
Si: 0.234 0.234 0.297
Si: 0.766 0.766 0.703
Ag: 0.000 0.000 0.000
Pm: 0.500 0.500 0.500

**Magnetic moment**: 0.00 μB per formula unit
**Formation energy without anion corrections**: -1.6 kJ/mol of atoms
**Symmetry**: R-3m (166)
**DOS(E_F)**: 0.661 states/eV per atom
**Raw total energy**: -4.628 eV per atom

20.
Compound: PmSi4Ag
Source: the Alexandria database
Functional: GGA-PBE
Structure: relaxed

Lattice parameters (Å, degrees): 5.323 5.323 5.323 60.00 60.00 60.00
Fractional coordinates of all 6 atoms:
Si: 0.628 0.628 0.115
Si: 0.628 0.115 0.628
Si: 0.628 0.628 0.628
Si: 0.115 0.628 0.628
Ag: 0.000 0.000 0.000
Pm: 0.250 0.250 0.250

**Magnetic moment**: 0.00 μB per formula unit
**Formation energy without anion corrections**: -5.8 kJ/mol of atoms
**Symmetry**: F-43m (216)
**DOS(E_F)**: 0.202 states/eV per atom
**Raw total energy**: -4.943 eV per atom